Entry 1:
AcSmDy4 | PBE | relaxed

Unit cell a=9.100 b=6.726 c=8.593 alpha=109.74 beta=119.33 gamma=95.81
Fractional positions:
1 Ac 0.427 0.677 0.355
2 Ac 0.573 0.323 0.645
3 Sm 0.691 0.941 0.882
4 Sm 0.309 0.059 0.118
5 Dy 0.236 0.992 0.653
6 Dy 0.980 0.734 0.131
7 Dy 0.083 0.339 0.347
8 Dy 0.349 0.603 0.869
9 Dy 0.764 0.008 0.347
10 Dy 0.917 0.661 0.653
11 Dy 0.020 0.266 0.869
12 Dy 0.651 0.397 0.131

Properties
M_tot: 0.00 Bohr magnetons per cell
Formation enthalpy at 0 K: 0.36 eV/f.u.
Calculated total energy: -53.756 eV per cell
Energy above the most stable polymorph in this dataset: 0.0 kJ/mol of formula units



Entry 2:
Ac3Sm3Dy2 | PBE | relaxed

Unit cell a=6.124 b=6.115 c=7.925 alpha=90.00 beta=90.00 gamma=90.00
Fractional positions:
1 Ac 0.000 0.500 0.500
2 Ac 0.500 0.000 0.000
3 Ac 0.500 0.000 0.500
4 Sm 0.500 0.500 0.240
5 Sm 0.500 0.500 0.760
6 Sm 0.000 0.500 0.000
7 Dy 0.000 0.000 0.240
8 Dy 0.000 0.000 0.760

Properties
M_tot: 0.00 Bohr magnetons per cell
Formation enthalpy at 0 K: 0.90 eV/f.u.
Calculated total energy: -34.783 eV per cell



Entry 3:
Ac2Sm5Dy2 | PBE | relaxed

Unit cell a=3.732 b=12.371 c=9.699 alpha=52.90 beta=101.40 gamma=81.55
Fractional positions:
1 Ac 0.782 0.642 0.192
2 Ac 0.218 0.358 0.808
3 Sm 0.808 0.797 0.417
4 Sm 0.192 0.203 0.583
5 Sm 0.592 0.626 0.814
6 Sm 0.408 0.374 0.186
7 Sm 0.000 0.000 0.000
8 Dy 0.901 0.909 0.709
9 Dy 0.099 0.091 0.291

Properties
M_tot: 0.00 Bohr magnetons per cell
Formation enthalpy at 0 K: 1.07 eV/f.u.
Calculated total energy: -39.950 eV per cell



Entry 4:
Ac4Sm3Dy | PBE | relaxed

Unit cell a=5.412 b=10.626 c=10.820 alpha=90.00 beta=90.00 gamma=90.00
Fractional positions:
1 Ac 0.064 0.863 0.000
2 Ac 0.564 0.138 0.000
3 Ac 0.064 0.138 0.250
4 Ac 0.564 0.862 0.250
5 Ac 0.064 0.862 0.500
6 Ac 0.564 0.137 0.500
7 Ac 0.564 0.862 0.750
8 Ac 0.064 0.138 0.750
9 Sm 0.564 0.611 0.000
10 Sm 0.064 0.611 0.250
11 Sm 0.564 0.389 0.250
12 Sm 0.064 0.389 0.500
13 Sm 0.564 0.389 0.750
14 Sm 0.064 0.611 0.750
15 Dy 0.064 0.388 0.000
16 Dy 0.564 0.612 0.500

Properties
M_tot: 0.00 Bohr magnetons per cell
Formation enthalpy at 0 K: 0.37 eV/f.u.
Calculated total energy: -69.640 eV per cell